1.
A plane-wave DFT calculation with meta-GGA SCAN was carried out for a PBEsol-optimized structure of Cd2Hg.

Cell: 8.1137 8.1137 3.4006 Å, 90.00 90.00 120.00°
Space group P-62m (No. 189)
Asymmetric unit:
Cd1 0.0000 0.2961 0.0000
Cd2 0.0000 0.6315 0.5000
Hg1 0.0000 0.0000 0.5000
Hg2 0.3333 0.6667 0.0000

For the total moment, the calculation gives 0.0 μB/f.u. As for the density of states at the Fermi level: 0.252 states/eV/atom.


2.
A plane-wave DFT calculation with meta-GGA SCAN was carried out for a PBEsol-optimized structure of Cd3Hg.

Cell: 5.555 5.555 5.555 Å, 90.00 90.00 90.00°
Space group Pm-3n (No. 223)
Asymmetric unit:
Cd1 0.000 0.250 0.500
Hg1 0.000 0.000 0.000

For the total moment, the calculation gives 0.0 μB/f.u. As for the density of states at the Fermi level: 0.289 states/eV/atom.


3.
A plane-wave DFT calculation with meta-GGA SCAN was carried out for a PBEsol-optimized structure of Cd5Hg.

Cell: 5.644 2.953 15.293 Å, 90.00 90.00 90.00°
Space group Amm2 (No. 38)
Asymmetric unit:
Cd1 0.000 0.000 0.000
Cd2 0.000 0.000 0.333
Cd3 0.000 0.000 0.666
Cd4 0.500 0.000 0.555
Cd5 0.500 0.000 0.890
Hg1 0.500 0.000 0.223

For the total moment, the calculation gives 0.0 μB/f.u. As for the density of states at the Fermi level: 0.266 states/eV/atom.


4.
A plane-wave DFT calculation with meta-GGA SCAN was carried out for a PBEsol-optimized structure of CdHg3.

Cell: 4.570 6.138 6.525 Å, 90.00 90.00 90.00°
Space group Pmmn (No. 59, origin choice 2)
Asymmetric unit:
Cd1 0.250 0.250 0.165
Hg1 0.250 0.003 0.649
Hg2 0.250 0.750 0.125

For the total moment, the calculation gives 0.0 μB/f.u. As for the density of states at the Fermi level: 0.260 states/eV/atom. As for the excess energy over the best structure of this formula in the dataset: 0 meV/atom.


5.
A plane-wave DFT calculation with meta-GGA SCAN was carried out for a PBEsol-optimized structure of CdHg3.

Cell: 3.903 5.010 9.291 Å, 90.00 90.00 90.00°
Space group Immm (No. 71)
Asymmetric unit:
Cd1 0.000 0.000 0.000
Hg1 0.000 0.000 0.500
Hg2 0.000 0.500 0.254

For the total moment, the calculation gives 0.0 μB/f.u. As for the density of states at the Fermi level: 0.282 states/eV/atom. As for the excess energy over the best structure of this formula in the dataset: 18 meV/atom.


6.
A plane-wave DFT calculation with meta-GGA SCAN was carried out for a PBEsol-optimized structure of CdHg3.

Cell: 4.446 4.446 8.972 Å, 90.00 90.00 90.00°
Space group I4/mmm (No. 139)
Asymmetric unit:
Cd1 0.000 0.000 0.000
Hg1 0.000 0.000 0.500
Hg2 0.000 0.500 0.250

For the total moment, the calculation gives 0.0 μB/f.u. As for the density of states at the Fermi level: 0.358 states/eV/atom. As for the excess energy over the best structure of this formula in the dataset: 30 meV/atom.


7.
A plane-wave DFT calculation with meta-GGA SCAN was carried out for a PBEsol-optimized structure of CdHg3.

Cell: 6.562 10.523 5.176 Å, 90.00 90.00 90.00°
Space group Cmcm (No. 63)
Asymmetric unit:
Cd1 0.000 0.089 0.250
Hg1 0.000 0.414 0.750
Hg2 0.245 0.161 0.750

For the total moment, the calculation gives 0.0 μB/f.u. As for the density of states at the Fermi level: 0.285 states/eV/atom. As for the excess energy over the best structure of this formula in the dataset: 29 meV/atom.


8.
A plane-wave DFT calculation with meta-GGA SCAN was carried out for a PBEsol-optimized structure of CdHg3.

Cell: 3.065 4.274 6.833 Å, 90.00 90.00 90.00°
Space group Pmmm (No. 47)
Asymmetric unit:
Cd1 0.000 0.000 0.000
Hg1 0.000 0.000 0.500
Hg2 0.500 0.500 0.243

For the total moment, the calculation gives 0.0 μB/f.u. As for the density of states at the Fermi level: 0.310 states/eV/atom. As for the excess energy over the best structure of this formula in the dataset: 21 meV/atom.


9.
A plane-wave DFT calculation with meta-GGA SCAN was carried out for a PBEsol-optimized structure of CdHg3.

Cell: 3.1608 3.1608 10.3234 Å, 90.00 90.00 120.00°
Space group P-6m2 (No. 187)
Asymmetric unit:
Cd1 0.0000 0.0000 0.0000
Hg1 0.0000 0.0000 0.5000
Hg2 0.6667 0.3333 0.2469

For the total moment, the calculation gives 0.0 μB/f.u. As for the density of states at the Fermi level: 0.397 states/eV/atom. As for the excess energy over the best structure of this formula in the dataset: 48 meV/atom.


10.
A plane-wave DFT calculation with meta-GGA SCAN was carried out for a PBEsol-optimized structure of CdHg5.

Cell: 3.030 3.030 15.082 Å, 90.00 90.00 90.00°
Space group P4/mmm (No. 123)
Asymmetric unit:
Cd1 0.000 0.000 0.000
Hg1 0.000 0.000 0.330
Hg2 0.500 0.500 0.160
Hg3 0.500 0.500 0.500

For the total moment, the calculation gives 0.0 μB/f.u. As for the density of states at the Fermi level: 0.226 states/eV/atom.


11.
A plane-wave DFT calculation with meta-GGA SCAN was carried out for a PBEsol-optimized structure of Cd5Hg.

Cell: 12.276 2.948 7.587 Å, 90.00 112.47 90.00°
Space group Cm (No. 8)
Asymmetric unit:
Cd1 0.000 0.000 0.000
Cd2 0.046 0.000 0.613
Cd3 0.155 0.500 0.342
Cd4 0.217 0.500 0.943
Cd5 0.325 0.000 0.672
Hg1 0.378 0.000 0.279

For the total moment, the calculation gives 0.0 μB/f.u. As for the density of states at the Fermi level: 0.238 states/eV/atom.


12.
A plane-wave DFT calculation with meta-GGA SCAN was carried out for a PBEsol-optimized structure of Cd3Hg.

Cell: 4.9521 4.9521 8.4454 Å, 90.00 90.00 120.00°
Space group P6_3/mmc (No. 194)
Asymmetric unit:
Cd1 0.0000 0.0000 0.2500
Cd2 0.3333 0.6667 0.0811
Hg1 0.3333 0.6667 0.7500

For the total moment, the calculation gives 0.0 μB/f.u. As for the density of states at the Fermi level: 0.262 states/eV/atom.


13.
A plane-wave DFT calculation with meta-GGA SCAN was carried out for a PBEsol-optimized structure of Cd4Hg3.

Cell: 3.900 3.900 20.061 Å, 90.00 90.00 90.00°
Space group I4/mmm (No. 139)
Asymmetric unit:
Cd1 0.000 0.000 0.071
Cd2 0.000 0.000 0.356
Hg1 0.000 0.000 0.213
Hg2 0.000 0.000 0.500

For the total moment, the calculation gives 0.0 μB/f.u. As for the density of states at the Fermi level: 0.241 states/eV/atom.


14.
A plane-wave DFT calculation with meta-GGA SCAN was carried out for a PBEsol-optimized structure of Cd2Hg.

Cell: 8.114 8.114 8.114 Å, 90.00 90.00 90.00°
Space group Fd-3m (No. 227, origin choice 2)
Asymmetric unit:
Cd1 0.000 0.000 0.000
Hg1 0.125 0.125 0.625

For the total moment, the calculation gives 0.0 μB/f.u. As for the density of states at the Fermi level: 0.316 states/eV/atom.


15.
A plane-wave DFT calculation with meta-GGA SCAN was carried out for a PBEsol-optimized structure of CdHg5.

Cell: 5.8415 5.8415 4.6629 Å, 90.00 90.00 120.00°
Space group P-62m (No. 189)
Asymmetric unit:
Cd1 0.0000 0.0000 0.0000
Hg1 0.0000 0.6754 0.5000
Hg2 0.3333 0.6667 0.0000

For the total moment, the calculation gives 0.0 μB/f.u. As for the density of states at the Fermi level: 0.315 states/eV/atom.


16.
A plane-wave DFT calculation with meta-GGA SCAN was carried out for a PBEsol-optimized structure of Cd2Hg.

Cell: 4.9468 4.9468 3.1586 Å, 90.00 90.00 120.00°
Space group P6/mmm (No. 191)
Asymmetric unit:
Cd1 0.3333 0.6667 0.0000
Hg1 0.0000 0.0000 0.5000

For the total moment, the calculation gives 0.0 μB/f.u. As for the density of states at the Fermi level: 0.381 states/eV/atom.


17.
A plane-wave DFT calculation with meta-GGA SCAN was carried out for a PBEsol-optimized structure of CdHg3.

Cell: 9.427 3.381 5.793 Å, 90.00 102.62 90.00°
Space group C2/m (No. 12)
Asymmetric unit:
Cd1 0.000 0.000 0.000
Hg1 0.000 0.500 0.500
Hg2 0.248 0.500 0.244

For the total moment, the calculation gives 0.0 μB/f.u. As for the density of states at the Fermi level: 0.290 states/eV/atom. As for the excess energy over the best structure of this formula in the dataset: 3 meV/atom.


18.
A plane-wave DFT calculation with meta-GGA SCAN was carried out for a PBEsol-optimized structure of Cd4Hg.

Cell: 4.055 4.055 14.121 Å, 90.00 90.00 90.00°
Space group I4/mmm (No. 139)
Asymmetric unit:
Cd1 0.000 0.000 0.097
Cd2 0.000 0.500 0.250
Hg1 0.000 0.000 0.500

For the total moment, the calculation gives 0.0 μB/f.u. As for the density of states at the Fermi level: 0.329 states/eV/atom. As for the excess energy over the best structure of this formula in the dataset: 59 meV/atom.


19.
A plane-wave DFT calculation with meta-GGA SCAN was carried out for a PBEsol-optimized structure of CdHg3.

Cell: 6.240 9.197 6.357 Å, 90.00 90.00 90.00°
Space group Pnma (No. 62)
Asymmetric unit:
Cd1 0.084 0.250 0.120
Hg1 0.037 0.250 0.620
Hg2 0.232 0.508 0.872

For the total moment, the calculation gives 0.0 μB/f.u. As for the density of states at the Fermi level: 0.298 states/eV/atom. As for the excess energy over the best structure of this formula in the dataset: 2 meV/atom.


20.
A plane-wave DFT calculation with meta-GGA SCAN was carried out for a PBEsol-optimized structure of Cd4Hg.

Cell: 9.770 9.770 9.770 Å, 90.00 90.00 90.00°
Space group I-43m (No. 217)
Asymmetric unit:
Cd1 0.000 0.000 0.344
Cd2 0.000 0.250 0.500
Cd3 0.166 0.166 0.834
Hg1 0.166 0.166 0.166

For the total moment, the calculation gives 0.0 μB/f.u. As for the density of states at the Fermi level: 0.377 states/eV/atom. As for the excess energy over the best structure of this formula in the dataset: 68 meV/atom.


| no. | energy of formation from the pure elements (meV per atom) |
| --- | --- |
| 1 | 10.6 |
| 2 | 26.7 |
| 3 | 4.4 |
| 4 | 11.9 |
| 5 | 30.4 |
| 6 | 41.8 |
| 7 | 41.1 |
| 8 | 33.3 |
| 9 | 59.5 |
| 10 | 40.4 |
| 11 | 3.8 |
| 12 | 60.9 |
| 13 | -13.3 |
| 14 | 85.4 |
| 15 | 32.3 |
| 16 | 93.2 |
| 17 | 15.3 |
| 18 | 75.0 |
| 19 | 13.8 |
| 20 | 84.0 |